Entry 1:
Below is LaAlRe2 after structural relaxation, with properties calculated at the PBE level.

Unit cell a=3.360 b=3.360 c=6.966 alpha=90.00 beta=90.00 gamma=90.00
Space group P4/mmm (No. 123)
One atom of each set of equivalent atoms:
La 0.000 0.000 0.000 (multiplicity 1)
Al 0.000 0.000 0.500 (multiplicity 1)
Re 0.500 0.500 0.329 (multiplicity 2)

Properties
total moment	0.0	μB/f.u.
final energy	-32.363	eV/f.u.
ΔH_f (0 K)	29.02	kJ per mole of atoms
crystal system	tetragonal

***

Entry 2:
Below is Ca2PdCl2O2 after structural relaxation, with properties calculated at the PBE level.

Unit cell a=4.047 b=4.047 c=15.099 alpha=90.00 beta=90.00 gamma=90.00
Space group I4/mmm (No. 139)
One atom of each set of equivalent atoms:
Ca 0.000 0.000 0.108 (multiplicity 4)
Pd 0.000 0.000 0.500 (multiplicity 2)
Cl 0.000 0.000 0.309 (multiplicity 4)
O 0.000 0.500 0.000 (multiplicity 4)

Properties
total moment	0.2	μB/f.u.
final energy	-35.632	eV/f.u.
formation energy without anion corrections	-1238	kJ/mol of formula units
crystal system	tetragonal

***

Entry 3:
Below is DyPuIn2 after structural relaxation, with properties calculated at the PBE level.

Unit cell a=4.805 b=4.805 c=4.587 alpha=90.00 beta=90.00 gamma=90.00
Space group P4/mmm (No. 123)
One atom of each set of equivalent atoms:
Dy 0.000 0.000 0.000 (multiplicity 1)
Pu 0.500 0.500 0.000 (multiplicity 1)
In 0.000 0.500 0.500 (multiplicity 2)

Properties
total moment	6.3	μB/f.u.
final energy	-25.483	eV/f.u.
ΔH_f (0 K)	-25.86	kJ per mole of atoms
crystal system	tetragonal

***

Question: final energy of number 2 (Ca2PdCl2O2)?
Answer: -35.632 eV/f.u.

***

Question: final energy of number 2 (Ca2PdCl2O2)?
Answer: -35.632 eV/f.u.